1.
The following is a DFT calculation (GGA-PBE) of a relaxed structure of CuAgRh2.

Cell lengths 9.324, 2.747, 4.689 Å; angles 90.00, 102.88, 90.00 degrees
Space group C2/m (No. 12)
Asymmetric unit:
Cu 0.000 0.000 0.000 x2
Ag 0.000 0.500 0.500 x2
Rh 0.237 0.500 0.234 x4

The calculation puts the energy of formation at 0.17 eV/atom.



2.
The following is a DFT calculation (GGA-PBE) of a relaxed structure of YW2Se.

Cell lengths 3.438, 5.236, 8.846 Å; angles 90.00, 90.00, 90.00 degrees
Space group Imm2 (No. 44)
Asymmetric unit:
Y 0.000 0.000 0.000 x2
W 0.000 0.000 0.494 x2
W 0.000 0.500 0.208 x2
Se 0.000 0.500 0.764 x2

Its formation energy without anion corrections is 1.4 eV per formula unit.



3.
The following is a DFT calculation (GGA-PBE) of a relaxed structure of Pr4ErP5.

Cell lengths 9.300, 9.300, 5.890 Å; angles 90.00, 90.00, 90.00 degrees
Space group I4/m (No. 87)
Asymmetric unit:
Pr 0.098 0.701 0.000 x8
Er 0.000 0.000 0.500 x2
P 0.000 0.000 0.000 x2
P 0.098 0.707 0.500 x8

The calculation puts the energy of formation at -1.52 eV/atom.



4.
The following is a DFT calculation (GGA-PBE) of a relaxed structure of CoTc2H.

Cell lengths 5.843, 5.843, 5.060 Å; angles 90.00, 90.00, 90.00 degrees
Space group I-42d (No. 122)
Asymmetric unit:
Co 0.000 0.000 0.000 x4
Tc 0.167 0.250 0.625 x8
H 0.000 0.000 0.500 x4

The calculation puts the total energy at -7.517 eV/atom.



Copy entry 2 word for word.
The following is a DFT calculation (GGA-PBE) of a relaxed structure of YW2Se.

Cell lengths 3.438, 5.236, 8.846 Å; angles 90.00, 90.00, 90.00 degrees
Space group Imm2 (No. 44)
Asymmetric unit:
Y 0.000 0.000 0.000 x2
W 0.000 0.000 0.494 x2
W 0.000 0.500 0.208 x2
Se 0.000 0.500 0.764 x2

Its formation energy without anion corrections is 1.4 eV per formula unit.